# 1
The following is a PBE calculation of a geometry-optimized Pr2TmPb structure, from Alexandria via LeMat-Bulk.

abc: 3.4760 27.3157 5.7774
angles: 90.00 90.00 90.00
Space group Cmcm (No. 63)
Inequivalent atoms, fractional coordinates:
Pr 0.0000 0.0924 0.2500
Pr 0.0000 0.1842 0.7500
Tm 0.0000 0.0288 0.7500
Pb 0.0000 0.3030 0.7500

Results
**ΔE to the lowest computed polymorph**: 335 meV per atom
**Formation enthalpy at 0 K**: 0.032 eV per atom
**M_tot**: 0.002 μB/cell

# 2
The following is a PBE calculation of a geometry-optimized PrTm3Pb4 structure, from Alexandria via LeMat-Bulk.

abc: 11.1630 6.4280 6.4302
angles: 90.00 90.00 90.00
Space group Pmn2_1 (No. 31)
Inequivalent atoms, fractional coordinates:
Pr 0.0000 0.0004 0.0000
Tm 0.0000 0.5001 0.5002
Tm 0.2500 0.2534 0.2505
Pb 0.0000 0.0001 0.5000
Pb 0.0000 0.5004 0.0002
Pb 0.2501 0.2491 0.7505

Results
**Formation enthalpy at 0 K**: -0.406 eV per atom
**M_tot**: 0.000 μB/cell

# 3
The following is a PBE calculation of a geometry-optimized Pr5TmPb6 structure, from Alexandria via LeMat-Bulk.

abc: 16.2428 9.2488 5.0773
angles: 90.00 108.13 90.00
Space group C2/m (No. 12)
Inequivalent atoms, fractional coordinates:
Pr 0.0000 0.0000 0.0000
Pr 0.1629 0.5000 0.6631
Pr 0.1669 0.0000 0.6670
Tm 0.0000 0.5000 0.0000
Pb 0.0000 0.2536 0.5000
Pb 0.1646 0.2519 0.1647

Results
**ΔE to the lowest computed polymorph**: 0 meV per atom
**Formation enthalpy at 0 K**: -0.496 eV per atom
**M_tot**: 0.001 μB/cell

# 4
The following is a PBE calculation of a geometry-optimized PrTm2Pb structure, from Alexandria via LeMat-Bulk.

abc: 7.8053 7.8053 7.8053
angles: 90.00 90.00 90.00
Space group F-43m (No. 216)
Inequivalent atoms, fractional coordinates:
Pr 0.0000 0.0000 0.0000
Tm 0.0000 0.0000 0.5000
Tm 0.2500 0.2500 0.7500
Pb 0.2500 0.2500 0.2500

Results
**ΔE to the lowest computed polymorph**: 207 meV per atom
**Formation enthalpy at 0 K**: -0.108 eV per atom
**M_tot**: 0.004 μB/cell